# 1
DFT (PBE) results for a relaxed SrTlAsI6 crystal.

Results
E_form (uncorrected) = -764 meV per atom
Total moment = 0.00 Bohr magnetons per cell
Volume = 417 Å³/cell

Unit cell a=7.9975 b=7.9975 c=7.5209 alpha=90.00 beta=90.00 gamma=120.00
Space group P312 (No. 149)
Symmetry-distinct sites (fractional):
Sr 0.0000 0.0000 0.0000 x1
Tl 0.6667 0.3333 0.5000 x1
As 0.3333 0.6667 0.0000 x1
I 0.0447 0.3703 0.2291 x6


# 2
DFT (PBE) results for a relaxed SrVAsI2 crystal.

Results
E_form (uncorrected) = 153 meV per atom
Total moment = 4.77 Bohr magnetons per cell
Volume = 205 Å³/cell

Unit cell a=5.2244 b=5.2244 c=7.4931 alpha=90.00 beta=90.00 gamma=90.00
Space group P4/mmm (No. 123)
Symmetry-distinct sites (fractional):
Sr 0.0000 0.0000 0.0000 x1
V 0.0000 0.0000 0.5000 x1
As 0.5000 0.5000 0.0000 x1
I 0.0000 0.5000 0.5000 x2


# 3
DFT (PBE) results for a relaxed SrYAsI2 crystal.

Results
E_form (uncorrected) = 88 meV per atom
Total moment = 1.19 Bohr magnetons per cell
Volume = 208 Å³/cell

Unit cell a=5.9518 b=5.9518 c=5.8730 alpha=90.00 beta=90.00 gamma=90.00
Space group P4/mmm (No. 123)
Symmetry-distinct sites (fractional):
Sr 0.0000 0.0000 0.0000 x1
Y 0.5000 0.5000 0.0000 x1
As 0.0000 0.0000 0.5000 x1
I 0.0000 0.5000 0.5000 x2


# 4
DFT (PBE) results for a relaxed TaAsI2 crystal.

Results
E_form (uncorrected) = 834 meV per atom
ΔE to the lowest computed polymorph = 659 meV/atom
Total moment = 0.00 Bohr magnetons per cell
Volume = 360 Å³/cell

Unit cell a=7.1121 b=7.1121 c=7.1121 alpha=90.00 beta=90.00 gamma=90.00
Space group Fm-3m (No. 225)
Symmetry-distinct sites (fractional):
Ta 0.0000 0.0000 0.0000 x4
As 0.0000 0.0000 0.5000 x4
I 0.2500 0.2500 0.2500 x8


# 5
DFT (PBE) results for a relaxed TaAs2I crystal.

Results
E_form (uncorrected) = 439 meV per atom
ΔE to the lowest computed polymorph = 0 meV/atom
Total moment = 0.00 Bohr magnetons per cell
Volume = 530 Å³/cell

Unit cell a=6.6900 b=6.6900 c=11.8417 alpha=90.00 beta=90.00 gamma=90.00
Space group I-42d (No. 122)
Symmetry-distinct sites (fractional):
Ta 0.0000 0.0000 0.0000 x4
As 0.1552 0.2500 0.1250 x8
I 0.0000 0.0000 0.5000 x4


# 6
DFT (PBE) results for a relaxed TaAsI2 crystal.

Results
E_form (uncorrected) = 175 meV per atom
ΔE to the lowest computed polymorph = 0 meV/atom
Total moment = 1.36 Bohr magnetons per cell
Volume = 530 Å³/cell

Unit cell a=10.2821 b=10.2821 c=5.0109 alpha=90.00 beta=90.00 gamma=90.00
Space group I-42d (No. 122)
Symmetry-distinct sites (fractional):
Ta 0.0000 0.0000 0.0000 x4
As 0.0000 0.0000 0.5000 x4
I 0.1029 0.7500 0.1250 x8


# 7
DFT (PBE) results for a relaxed TaAs2I crystal.

Results
E_form (uncorrected) = 773 meV per atom
ΔE to the lowest computed polymorph = 334 meV/atom
Total moment = 0.00 Bohr magnetons per cell
Volume = 324 Å³/cell

Unit cell a=6.8680 b=6.8680 c=6.8680 alpha=90.00 beta=90.00 gamma=90.00
Space group Fm-3m (No. 225)
Symmetry-distinct sites (fractional):
Ta 0.0000 0.0000 0.0000 x4
As 0.2500 0.2500 0.2500 x8
I 0.0000 0.0000 0.5000 x4


# 8
DFT (PBE) results for a relaxed TaTlAs2I crystal.

Results
E_form (uncorrected) = 39 meV per atom
Total moment = 0.00 Bohr magnetons per cell
Volume = 149 Å³/cell

Unit cell a=5.0017 b=5.0017 c=5.9455 alpha=90.00 beta=90.00 gamma=90.00
Space group P4/mmm (No. 123)
Symmetry-distinct sites (fractional):
Ta 0.0000 0.0000 0.0000 x1
Tl 0.5000 0.5000 0.5000 x1
As 0.0000 0.5000 0.0000 x2
I 0.0000 0.0000 0.5000 x1


# 9
DFT (PBE) results for a relaxed Tb2AsI3 crystal.

Results
E_form (uncorrected) = -1299 meV per atom
Total moment = 0.00 Bohr magnetons per cell
Volume = 1025 Å³/cell

Unit cell a=21.3551 b=4.3568 c=14.7073 alpha=90.00 beta=131.50 gamma=90.00
Space group C2/m (No. 12)
Symmetry-distinct sites (fractional):
Tb 0.0877 0.0000 0.4753 x4
Tb 0.1345 0.5000 0.8170 x4
As 0.0882 0.0000 0.6670 x4
I 0.0443 0.5000 0.2755 x4
I 0.1708 0.0000 0.0134 x4
I 0.2246 0.5000 0.6186 x4


# 10
DFT (PBE) results for a relaxed Tb3AsI3 crystal.

Results
E_form (uncorrected) = -1285 meV per atom
Total moment = 0.00 Bohr magnetons per cell
Volume = 1528 Å³/cell

Unit cell a=7.1893 b=7.1893 c=34.1455 alpha=90.00 beta=90.00 gamma=120.00
Space group R-3 (No. 148, hexagonal axes)
Symmetry-distinct sites (fractional):
Tb 0.0000 0.3363 0.4554 x18
As 0.0000 0.0000 0.1667 x6
I 0.0000 0.3331 0.6042 x18